Record 1
PBE BeHg, relaxed; calculated density = 10.293 g/cm³; total DFT energy (no corrections) = -1.488 eV per atom; magnetic moment = 0.00 μB/atom; space group = No. 166; formation energy = 0.53 eV per atom; crystal system = trigonal
1.0
1.497 0.864 8.717
-1.497 0.864 8.717
0.000 -1.728 8.717
Be Hg
2 2
Direct
0.138 0.138 0.138 Be
0.862 0.862 0.862 Be
0.391 0.391 0.391 Hg
0.609 0.609 0.609 Hg



Record 2
PBE Tl3Cd2, relaxed; calculated density = 9.861 g/cm³; total DFT energy (no corrections) = -1.750 eV per atom; magnetic moment = 0.00 μB/atom; space group = No. 166; formation energy = 0.04 eV per atom; crystal system = trigonal
1.0
1.783 1.030 12.808
-1.783 1.030 12.808
0.000 -2.059 12.808
Tl Cd
3 2
Direct
0.000 0.000 0.000 Tl
0.203 0.203 0.203 Tl
0.797 0.797 0.797 Tl
0.399 0.399 0.399 Cd
0.601 0.601 0.601 Cd



Record 3
PBE Er3UP4, relaxed; calculated density = 8.218 g/cm³; total DFT energy (no corrections) = -7.278 eV per atom; magnetic moment = 0.26 μB/atom; space group = No. 65; formation energy = -1.45 eV per atom; crystal system = orthorhombic
1.0
3.963 -5.581 0.000
3.963 5.581 0.000
0.000 0.000 3.945
Er U P
3 1 4
Direct
0.000 0.000 0.000 Er
0.000 0.500 0.500 Er
0.500 0.000 0.500 Er
0.500 0.500 0.000 U
0.253 0.253 0.500 P
0.253 0.747 0.000 P
0.747 0.253 0.000 P
0.747 0.747 0.500 P



Record 4
PBE Cr2SbAu, relaxed; calculated density = 9.433 g/cm³; total DFT energy (no corrections) = -6.362 eV per atom; magnetic moment = 1.95 μB/atom; space group = No. 123; formation energy from raw total energies = 0.299 eV/atom; crystal system = tetragonal
1.0
3.326 0.000 0.000
0.000 3.326 0.000
0.000 0.000 6.727
Cr Sb Au
2 1 1
Direct
0.000 0.000 0.237 Cr
0.000 0.000 0.763 Cr
0.500 0.500 0.500 Sb
0.500 0.500 0.000 Au



Record 5
PBE HfZrOs2, relaxed; calculated density = 15.446 g/cm³; total DFT energy (no corrections) = -10.852 eV per atom; magnetic moment = 0.00 μB/atom; space group = No. 123; formation energy = -0.61 eV per atom; crystal system = tetragonal
1.0
4.629 0.000 0.000
0.000 4.629 0.000
0.000 0.000 3.262
Hf Zr Os
1 1 2
Direct
0.000 0.000 0.000 Hf
0.500 0.500 0.000 Zr
0.000 0.500 0.500 Os
0.500 0.000 0.500 Os



Record 6
PBE Ag2H2Br5, relaxed; calculated density = 4.212 g/cm³; total DFT energy (no corrections) = -2.520 eV per atom; magnetic moment = 0.02 μB/atom; space group = No. 9; crystal system = monoclinic
1.0
15.967 -2.070 0.000
15.967 2.070 0.000
-1.793 0.000 7.362
Ag H Br
4 4 10
Direct
0.000 0.500 0.862 Ag
0.002 0.998 0.500 Ag
0.500 0.000 0.362 Ag
0.998 0.002 0.000 Ag
0.024 0.719 0.338 H
0.283 0.974 0.594 H
0.719 0.024 0.838 H
0.974 0.283 0.094 H
0.033 0.168 0.658 Br
0.168 0.033 0.158 Br
0.293 0.307 0.163 Br
0.307 0.293 0.663 Br
0.465 0.535 0.252 Br
0.535 0.465 0.752 Br
0.698 0.702 0.562 Br
0.702 0.698 0.062 Br
0.829 0.970 0.458 Br
0.970 0.829 0.958 Br



Record 7
PBE NdB2Rh3, relaxed; calculated density = 9.612 g/cm³; total DFT energy (no corrections) = -7.357 eV per atom; magnetic moment = 0.01 μB/atom; space group = No. 191; formation energy = -0.66 eV per atom; crystal system = hexagonal
1.0
5.521 0.000 0.000
-2.760 4.781 0.000
0.000 0.000 3.106
Nd B Rh
1 2 3
Direct
0.000 0.000 0.000 Nd
0.333 0.667 0.000 B
0.667 0.333 0.000 B
0.000 0.500 0.500 Rh
0.500 0.000 0.500 Rh
0.500 0.500 0.500 Rh



Record 8
PBE Tb6Pm2NdY3, relaxed; calculated density = 7.005 g/cm³; total DFT energy (no corrections) = -5.104 eV per atom; magnetic moment = 0.00 μB/atom; space group = No. 12; formation energy = 0.02 eV per atom; crystal system = monoclinic
1.0
3.110 -5.384 0.000
3.110 5.384 0.000
-2.064 0.000 11.712
Tb Pm Nd Y
6 2 1 3
Direct
0.085 0.418 0.752 Tb
0.249 0.249 0.248 Tb
0.418 0.085 0.752 Tb
0.582 0.915 0.248 Tb
0.751 0.751 0.752 Tb
0.915 0.582 0.248 Tb
0.333 0.667 0.500 Pm
0.667 0.333 0.500 Pm
0.000 0.000 0.500 Nd
0.167 0.833 0.000 Y
0.500 0.500 0.000 Y
0.833 0.167 0.000 Y



Record 9
PBE MgSnIr2Pb, relaxed; calculated density = 9.329 g/cm³; total DFT energy (no corrections) = -4.117 eV per atom; magnetic moment = 0.00 μB/atom; space group = No. 123; formation energy = 1.29 eV per atom; crystal system = tetragonal
1.0
5.074 0.000 0.000
0.000 5.074 0.000
0.000 0.000 5.080
Mg Sn Ir Pb
1 1 2 1
Direct
0.000 0.000 0.000 Mg
0.500 0.500 0.000 Sn
0.000 0.500 0.500 Ir
0.500 0.000 0.500 Ir
0.000 0.000 0.500 Pb



Record 10
PBE PuNpSbN, relaxed; calculated density = 11.334 g/cm³; total DFT energy (no corrections) = -10.712 eV per atom; magnetic moment = 0.42 μB/atom; space group = No. 129; formation energy from raw total energies = -0.781 eV/atom; crystal system = tetragonal
1.0
4.506 0.000 0.000
0.000 4.506 0.000
0.000 0.000 8.903
Pu Np Sb N
2 2 2 2
Direct
0.250 0.250 0.160 Pu
0.750 0.750 0.840 Pu
0.250 0.750 0.500 Np
0.750 0.250 0.500 Np
0.250 0.250 0.794 Sb
0.750 0.750 0.206 Sb
0.250 0.250 0.414 N
0.750 0.750 0.586 N



Record 11
PBE AuIBr, relaxed; calculated density = 5.647 g/cm³; total DFT energy (no corrections) = -2.147 eV per atom; magnetic moment = 0.00 μB/atom; space group = No. 12; formation energy from raw total energies = 0.019 eV/atom; crystal system = monoclinic
1.0
7.480 -1.973 0.000
7.480 1.973 0.000
-1.776 0.000 8.044
Au I Br
2 2 2
Direct
0.037 0.037 0.275 Au
0.963 0.963 0.725 Au
0.349 0.349 0.604 I
0.651 0.651 0.396 I
0.121 0.121 0.880 Br
0.879 0.879 0.120 Br



Record 12
PBE KPdO3, relaxed; calculated density = 3.955 g/cm³; total DFT energy (no corrections) = -4.849 eV per atom; magnetic moment = 0.20 μB/atom; space group = No. 15; formation energy from raw total energies = -0.616 eV/atom; crystal system = monoclinic
1.0
5.735 -5.286 0.000
5.735 5.286 0.000
-0.132 0.000 5.361
K Pd O
4 4 12
Direct
0.102 0.307 0.319 K
0.307 0.102 0.819 K
0.693 0.898 0.181 K
0.898 0.693 0.681 K
0.271 0.729 0.250 Pd
0.427 0.573 0.750 Pd
0.573 0.427 0.250 Pd
0.729 0.271 0.750 Pd
0.040 0.731 0.140 O
0.207 0.610 0.559 O
0.269 0.960 0.360 O
0.338 0.482 0.074 O
0.390 0.793 0.941 O
0.482 0.338 0.574 O
0.518 0.662 0.426 O
0.610 0.207 0.059 O
0.662 0.518 0.926 O
0.731 0.040 0.640 O
0.793 0.390 0.441 O
0.960 0.269 0.860 O



Record 13
PBE CePm4Bi5, relaxed; calculated density = 8.610 g/cm³; total DFT energy (no corrections) = -5.346 eV per atom; magnetic moment = 0.08 μB/atom; space group = No. 139; formation energy = -0.91 eV per atom; crystal system = tetragonal
1.0
-2.293 2.293 16.185
2.293 -2.293 16.185
2.293 2.293 -16.185
Ce Pm Bi
1 4 5
Direct
0.000 0.000 0.000 Ce
0.200 0.200 0.000 Pm
0.399 0.399 0.000 Pm
0.601 0.601 0.000 Pm
0.800 0.800 0.000 Pm
0.100 0.100 0.000 Bi
0.300 0.300 0.000 Bi
0.500 0.500 0.000 Bi
0.700 0.700 0.000 Bi
0.900 0.900 0.000 Bi



Record 14
PBE TbSmDy5Y2, relaxed; calculated density = 7.318 g/cm³; total DFT energy (no corrections) = -4.879 eV per atom; magnetic moment = 0.00 μB/atom; space group = No. 36; formation energy = 0.15 eV per atom; crystal system = orthorhombic
1.0
2.811 -9.905 0.000
2.811 9.905 0.000
0.000 0.000 10.592
Tb Sm Dy Y
2 2 10 4
Direct
0.201 0.799 0.500 Tb
0.799 0.201 0.000 Tb
0.415 0.585 0.944 Sm
0.585 0.415 0.444 Sm
0.019 0.981 0.514 Dy
0.283 0.717 0.799 Dy
0.299 0.701 0.196 Dy
0.391 0.609 0.512 Dy
0.479 0.521 0.227 Dy
0.521 0.479 0.727 Dy
0.609 0.391 0.012 Dy
0.701 0.299 0.696 Dy
0.717 0.283 0.299 Dy
0.981 0.019 0.014 Dy
0.110 0.890 0.224 Y
0.114 0.886 0.809 Y
0.886 0.114 0.309 Y
0.890 0.110 0.724 Y



Record 15
PBE Y3ScTl2, relaxed; calculated density = 7.005 g/cm³; total DFT energy (no corrections) = -5.336 eV per atom; magnetic moment = 0.20 μB/atom; space group = No. 72; formation energy = -0.26 eV per atom; crystal system = orthorhombic
1.0
-3.220 8.252 3.214
3.220 -8.252 3.214
3.220 8.252 -3.214
Y Sc Tl
6 2 4
Direct
0.176 0.747 0.923 Y
0.250 0.250 0.000 Y
0.324 0.247 0.570 Y
0.676 0.753 0.430 Y
0.750 0.750 0.000 Y
0.824 0.253 0.077 Y
0.250 0.750 0.500 Sc
0.750 0.250 0.500 Sc
0.134 0.258 0.392 Tl
0.366 0.758 0.124 Tl
0.634 0.242 0.876 Tl
0.866 0.742 0.608 Tl



Record 16
PBE TbYEr5, relaxed; calculated density = 6.150 g/cm³; total DFT energy (no corrections) = -3.690 eV per atom; magnetic moment = 0.00 μB/atom; space group = No. 71; formation energy = 1.15 eV per atom; crystal system = orthorhombic
1.0
-2.876 4.282 5.942
2.876 -4.282 5.942
2.876 4.282 -5.942
Tb Y Er
1 1 5
Direct
0.000 0.000 0.000 Tb
0.500 0.500 0.000 Y
0.178 0.500 0.678 Er
0.255 0.255 0.000 Er
0.500 0.000 0.500 Er
0.745 0.745 0.000 Er
0.822 0.500 0.322 Er



Record 17
PBE Ba3Tl2BiO8, relaxed; calculated density = 7.133 g/cm³; total DFT energy (no corrections) = -5.391 eV per atom; magnetic moment = 0.00 μB/atom; space group = No. 164; formation energy from raw total energies = -1.531 eV/atom; crystal system = trigonal
1.0
6.232 0.000 0.000
-3.116 5.397 0.000
0.000 0.000 8.014
Ba Tl Bi O
3 2 1 8
Direct
0.000 0.000 0.000 Ba
0.333 0.667 0.623 Ba
0.667 0.333 0.377 Ba
0.333 0.667 0.183 Tl
0.667 0.333 0.817 Tl
0.000 0.000 0.500 Bi
0.163 0.327 0.336 O
0.163 0.837 0.336 O
0.327 0.163 0.664 O
0.333 0.667 0.928 O
0.667 0.333 0.072 O
0.673 0.837 0.336 O
0.837 0.163 0.664 O
0.837 0.673 0.664 O



Record 18
PBE Mg3Ga4Co4, relaxed; calculated density = 5.348 g/cm³; total DFT energy (no corrections) = -4.219 eV per atom; magnetic moment = 0.00 μB/atom; space group = No. 217; formation energy = -0.10 eV per atom; crystal system = cubic
1.0
-3.573 3.573 3.573
3.573 -3.573 3.573
3.573 3.573 -3.573
Mg Ga Co
3 4 4
Direct
0.000 0.500 0.500 Mg
0.500 0.000 0.500 Mg
0.500 0.500 0.000 Mg
0.000 0.000 0.396 Ga
0.000 0.396 0.000 Ga
0.396 0.000 0.000 Ga
0.604 0.604 0.604 Ga
0.000 0.000 0.760 Co
0.000 0.760 0.000 Co
0.240 0.240 0.240 Co
0.760 0.000 0.000 Co



Record 19
PBE Er2Tm2Sc, relaxed; calculated density = 8.087 g/cm³; total DFT energy (no corrections) = -4.714 eV per atom; magnetic moment = 0.00 μB/atom; space group = No. 127; formation energy = 0.17 eV per atom; crystal system = tetragonal
1.0
8.985 0.000 0.000
0.000 8.985 0.000
0.000 0.000 3.649
Er Tm Sc
4 4 2
Direct
0.130 0.370 0.000 Er
0.370 0.870 0.000 Er
0.630 0.130 0.000 Er
0.870 0.630 0.000 Er
0.169 0.669 0.500 Tm
0.331 0.169 0.500 Tm
0.669 0.831 0.500 Tm
0.831 0.331 0.500 Tm
0.000 0.000 0.000 Sc
0.500 0.500 0.000 Sc



Record 20
PBE HgTeAu2, relaxed; calculated density = 9.414 g/cm³; total DFT energy (no corrections) = -2.430 eV per atom; magnetic moment = 0.00 μB/atom; space group = No. 122; formation energy from raw total energies = 0.069 eV/atom; crystal system = tetragonal
1.0
-2.914 2.914 7.499
2.914 -2.914 7.499
2.914 2.914 -7.499
Hg Te Au
2 2 4
Direct
0.000 0.000 0.000 Hg
0.750 0.250 0.500 Hg
0.250 0.750 0.500 Te
0.500 0.500 0.000 Te
0.175 0.625 0.050 Au
0.375 0.425 0.550 Au
0.575 0.125 0.950 Au
0.875 0.825 0.450 Au